# 1
Below is MnSiSb3 after structural relaxation, with properties calculated at the GGA-PBE level.

Output
Energy relative to the lowest polymorph listed for this composition = 675 meV per atom
Raw formation energy = 1.34 eV/atom
N(E_F) = 7.38 states/eV/cell
DFT total energy = -20.3 eV/f.u.

abc: 5.1318 5.1318 5.1318
angles: 90.00 90.00 90.00
Atoms (fractional coordinates):
Sb1 0.5000 0.0000 0.0000
Sb2 0.0000 0.0000 0.5000
Sb3 0.0000 0.5000 0.0000
Si1 0.0000 0.0000 0.0000
Mn1 0.5000 0.5000 0.5000

# 2
Below is Nd2EuSc after structural relaxation, with properties calculated at the GGA-PBE level.

Output
Energy relative to the lowest polymorph listed for this composition = 87 meV per atom
N(E_F) = 6.45 states/eV/cell
E_form = 0.14 eV/atom
DFT total energy = -25.6 eV/f.u.

abc: 5.7242 5.7242 5.7242
angles: 60.00 60.00 60.00
Atoms (fractional coordinates):
Sc1 0.5000 0.5000 0.5000
Eu1 0.0000 0.0000 0.0000
Nd1 0.7500 0.7500 0.7500
Nd2 0.2500 0.2500 0.2500

# 3
Below is Na8SbTe2 after structural relaxation, with properties calculated at the GGA-PBE level.

Output
Raw formation energy = -0.59 eV/atom
N(E_F) = 2.13 states/eV/cell
DFT total energy = -27.4 eV/f.u.

abc: 5.1268 7.6146 9.5464
angles: 110.03 105.58 90.00
Atoms (fractional coordinates):
Na1 0.6605 0.9321 0.3210
Na2 0.8089 0.7168 0.6179
Na3 0.5933 0.4487 0.1866
Na4 0.0281 0.7870 0.0563
Na5 0.1911 0.2832 0.3821
Na6 0.9719 0.2130 0.9437
Na7 0.3395 0.0679 0.6790
Na8 0.4067 0.5513 0.8134
Te1 0.1912 0.6981 0.3824
Te2 0.8088 0.3019 0.6176
Sb1 0.5000 0.0000 0.0000

# 4
Below is CaBBrO2 after structural relaxation, with properties calculated at the GGA-PBE level.

Output
Raw formation energy = -2.32 eV/atom
N(E_F) = 0.00 states/eV/cell
DFT total energy = -31.8 eV/f.u.

abc: 4.5080 6.9495 6.4204
angles: 88.35 90.00 90.00
Atoms (fractional coordinates):
O1 0.7500 0.1223 0.9509
O2 0.2500 0.9818 0.6663
O3 0.2500 0.8777 0.0491
O4 0.7500 0.0182 0.3337
Br1 0.2500 0.4777 0.7312
Br2 0.7500 0.5223 0.2688
B1 0.7500 0.0713 0.1403
B2 0.2500 0.9287 0.8597
Ca1 0.2500 0.7708 0.3810
Ca2 0.7500 0.2292 0.6190

# 5
Below is MnTe2HN after structural relaxation, with properties calculated at the GGA-PBE level.

Output
Energy relative to the lowest polymorph listed for this composition = 611 meV per atom
N(E_F) = 8.14 states/eV/cell
DFT total energy = -21.1 eV/f.u.

abc: 4.9907 4.9907 2.8329
angles: 90.00 90.00 90.00
Atoms (fractional coordinates):
Te1 0.0000 0.5000 0.0000
Te2 0.5000 0.0000 0.0000
N1 0.0000 0.0000 0.5000
H1 0.0000 0.0000 0.0000
Mn1 0.5000 0.5000 0.5000

# 6
Below is CeMgZrCd after structural relaxation, with properties calculated at the GGA-PBE level.

Output
N(E_F) = 9.99 states/eV/cell
E_form = 0.06 eV/atom
DFT total energy = -16.7 eV/f.u.

abc: 5.1881 5.1881 5.1881
angles: 60.00 60.00 60.00
Atoms (fractional coordinates):
Zr1 0.2500 0.2500 0.2500
Cd1 0.5000 0.5000 0.5000
Mg1 0.0000 0.0000 0.0000
Ce1 0.7500 0.7500 0.7500

# 7
Below is Na2Tb2PuS6 after structural relaxation, with properties calculated at the GGA-PBE level.

Output
Raw formation energy = -1.69 eV/atom
N(E_F) = 7.90 states/eV/cell
DFT total energy = -69.6 eV/f.u.

abc: 6.9186 6.9186 7.1046
angles: 99.30 99.30 119.85
Atoms (fractional coordinates):
S1 0.7515 0.7515 0.7199
S2 0.0688 0.3993 0.7203
S3 0.3993 0.0688 0.7203
S4 0.2485 0.2485 0.2801
S5 0.6007 0.9312 0.2797
S6 0.9312 0.6007 0.2797
Na1 0.8317 0.1683 0.0000
Na2 0.1683 0.8317 0.0000
Tb1 0.6658 0.3342 0.5000
Tb2 0.3342 0.6658 0.5000
Pu1 0.0000 0.0000 0.5000

# 8
Below is TaSb2Au after structural relaxation, with properties calculated at the GGA-PBE level.

Output
Raw formation energy = 0.32 eV/atom
N(E_F) = 4.25 states/eV/cell
DFT total energy = -22.1 eV/f.u.

abc: 3.1583 3.1583 8.9219
angles: 90.00 90.00 90.00
Atoms (fractional coordinates):
Sb1 0.0000 0.0000 0.0154
Sb2 0.0000 0.0000 0.4846
Au1 0.5000 0.5000 0.7500
Ta1 0.5000 0.5000 0.2500

# 9
Below is Sr3Ga4Ir4 after structural relaxation, with properties calculated at the GGA-PBE level.

Output
N(E_F) = 6.69 states/eV/cell
E_form = -0.55 eV/atom
DFT total energy = -58.7 eV/f.u.

abc: 6.7745 6.7745 6.7745
angles: 109.47 109.47 109.47
Atoms (fractional coordinates):
Ga1 0.6151 0.6151 0.6151
Ga2 0.0000 0.0000 0.3849
Ga3 0.0000 0.3849 0.0000
Ga4 0.3849 0.0000 0.0000
Sr1 0.5000 0.0000 0.5000
Sr2 0.5000 0.5000 0.0000
Sr3 0.0000 0.5000 0.5000
Ir1 0.0000 0.7456 0.0000
Ir2 0.7456 0.0000 0.0000
Ir3 0.0000 0.0000 0.7456
Ir4 0.2544 0.2544 0.2544

# 10
Below is MnPd2Cl after structural relaxation, with properties calculated at the GGA-PBE level.

Output
Energy relative to the lowest polymorph listed for this composition = 0 meV per atom
Raw formation energy = 0.16 eV/atom
N(E_F) = 0.94 states/eV/cell
DFT total energy = -20.8 eV/f.u.

abc: 4.5263 4.5263 4.5263
angles: 60.00 60.00 60.00
Atoms (fractional coordinates):
Mn1 0.5000 0.5000 0.5000
Pd1 0.2500 0.2500 0.2500
Pd2 0.7500 0.7500 0.7500
Cl1 0.0000 0.0000 0.0000

# 11
Below is BaRePb2 after structural relaxation, with properties calculated at the GGA-PBE level.

Output
Energy relative to the lowest polymorph listed for this composition = 307 meV per atom
N(E_F) = 5.89 states/eV/cell
E_form = 0.72 eV/atom
DFT total energy = -18.9 eV/f.u.

abc: 5.3056 5.3056 5.3056
angles: 60.00 60.00 60.00
Atoms (fractional coordinates):
Pb1 0.2500 0.2500 0.2500
Pb2 0.7500 0.7500 0.7500
Ba1 0.0000 0.0000 0.0000
Re1 0.5000 0.5000 0.5000

# 12
Below is TbNi3Ir after structural relaxation, with properties calculated at the GGA-PBE level.

Output
N(E_F) = 14.01 states/eV/cell
E_form = 0.06 eV/atom
DFT total energy = -30.5 eV/f.u.

abc: 4.3134 8.4777 8.4777
angles: 148.31 90.00 90.00
Atoms (fractional coordinates):
Tb1 0.7500 0.5864 0.4136
Tb2 0.2500 0.4136 0.5864
Ni1 0.7500 0.4616 0.0135
Ni2 0.0000 0.0000 0.0000
Ni3 0.2500 0.5384 0.9865
Ni4 0.2500 0.0135 0.4616
Ni5 0.7500 0.9865 0.5384
Ni6 0.5000 0.0000 0.0000
Ir1 0.2500 0.1406 0.8594
Ir2 0.7500 0.8594 0.1406

Among the records above, which one has the lowest DFT total energy?
Na2Tb2PuS6

Copy entry 9 word for word.
Below is Sr3Ga4Ir4 after structural relaxation, with properties calculated at the GGA-PBE level.

Output
N(E_F) = 6.69 states/eV/cell
E_form = -0.55 eV/atom
DFT total energy = -58.7 eV/f.u.

abc: 6.7745 6.7745 6.7745
angles: 109.47 109.47 109.47
Atoms (fractional coordinates):
Ga1 0.6151 0.6151 0.6151
Ga2 0.0000 0.0000 0.3849
Ga3 0.0000 0.3849 0.0000
Ga4 0.3849 0.0000 0.0000
Sr1 0.5000 0.0000 0.5000
Sr2 0.5000 0.5000 0.0000
Sr3 0.0000 0.5000 0.5000
Ir1 0.0000 0.7456 0.0000
Ir2 0.7456 0.0000 0.0000
Ir3 0.0000 0.0000 0.7456
Ir4 0.2544 0.2544 0.2544